Record 1
## Na3AlRu (GGA-PBE)

Data for crystalline Na3AlRu at its relaxed geometry.

Structure (POSCAR):
```
Na3AlRu
1.0
-0.773 -3.532 4.005
5.311 -0.084 0.951
-0.561 4.078 3.489
Na Ru Al
3 1 1
Direct
0.000 0.500 0.000
0.500 0.000 0.000
0.000 0.000 0.500
0.000 0.000 0.000
0.500 0.500 0.500
```

Values from the calculation:
Polymorph energy (0 for the lowest one)   0 meV per atom


Record 2
## Na2AlRu (GGA-PBE)

Data for crystalline Na2AlRu at its relaxed geometry.

Structure (POSCAR):
```
Na2AlRu
1.0
-5.196 -3.495 5.169
4.935 -6.418 0.622
1.045 -3.867 4.813
Na Ru Al
4 2 2
Direct
0.875 0.887 0.750
0.375 0.363 0.750
0.113 0.625 0.250
0.637 0.125 0.250
0.000 0.000 0.000
0.750 0.250 0.500
0.500 0.500 0.000
0.250 0.750 0.500
```


Record 3
## NaAlS2 (GGA-PBE)

Data for crystalline NaAlS2 at its relaxed geometry.

Structure (POSCAR):
```
NaAlS2
1.0
1.444 7.599 -6.836
-2.010 -9.577 3.285
-4.535 1.007 0.162
S Al Na
4 2 2
Direct
0.175 0.825 0.250
0.825 0.175 0.750
0.046 0.954 0.750
0.954 0.046 0.250
0.932 0.068 0.750
0.068 0.932 0.250
0.317 0.683 0.250
0.683 0.317 0.750
```


Record 4
## NaAlS2 (GGA-PBE)

Data for crystalline NaAlS2 at its relaxed geometry.

Structure (POSCAR):
```
NaAlS2
1.0
7.156 -0.053 -0.013
8.588 6.028 -0.036
-1.368 3.478 5.007
Al S Na
2 4 2
Direct
0.583 0.149 0.366
0.307 0.425 0.642
0.118 0.351 0.440
0.917 0.816 0.322
0.263 0.470 0.975
0.907 0.088 0.703
0.513 0.917 0.873
0.417 0.617 0.174
```


Record 5
## NaAlS2 (GGA-PBE)

Data for crystalline NaAlS2 at its relaxed geometry.

Structure (POSCAR):
```
NaAlS2
1.0
-3.557 -5.077 -1.769
0.612 -2.489 5.915
-4.218 -2.193 3.026
Al S Na
2 4 2
Direct
0.750 0.750 0.500
0.250 0.250 0.500
0.250 0.250 0.000
0.750 0.250 0.000
0.250 0.750 0.000
0.750 0.750 0.000
0.250 0.750 0.500
0.750 0.250 0.500
```


Record 6
## Na3AlS (GGA-PBE)

Data for crystalline Na3AlS at its relaxed geometry.

Structure (POSCAR):
```
Na3AlS
1.0
5.319 0.000 0.000
0.000 5.319 0.000
0.000 0.000 5.319
Na S Al
3 1 1
Direct
0.000 0.000 0.500
0.500 0.000 0.000
0.000 0.500 0.000
0.000 0.000 0.000
0.500 0.500 0.500
```

Values from the calculation:
Polymorph energy (0 for the lowest one)   0 meV per atom


| no. | E (eV/atom) | N(E_F) (states/eV per atom) | density (g/cm³) |
| --- | --- | --- | --- |
| 1 | -2.211 | 1.2873 | 2.08 |
| 2 | -3.217 | 0.6240 | 3.51 |
| 3 | -4.182 | 0.0000 | 1.96 |
| 4 | -4.527 | 0.0000 | 1.73 |
| 5 | -3.665 | 0.4459 | 2.75 |
| 6 | -2.552 | 0.7669 | 1.41 |